A plane-wave DFT calculation with PBE was carried out for a relaxed structure of SrSn4Ir2.

Computed properties:
Symmetry: Cmmm, No. 65
Formation energy (eV/atom): -0.2316
Relative energy among the computed polymorphs (eV/atom): 0.229

Lattice parameters (Å, degrees): 5.103 5.059 6.921 111.44 90.00 90.00
Fractional positions:
Sr (0.000, 0.000, 0.000)
Sn (0.500, 0.825, 0.651)
Sn (0.000, 0.679, 0.357)
Sn (0.500, 0.175, 0.349)
Sn (0.000, 0.321, 0.643)
Ir (0.500, 0.602, 0.205)
Ir (0.500, 0.398, 0.795)